i) The following is a PBE calculation of a relaxed structure of Cs4CO4, from the Alexandria database.

Lattice parameters (Å, degrees): 8.4700 8.4700 8.4700 95.45 95.45 144.09
Fractional positions:
Cs  0.1883  0.1883  0.6984
Cs  0.4899  0.4899  0.3016
Cs  0.5101  0.8117  0.0000
Cs  0.8117  0.5101  0.0000
C  0.0000  0.0000  0.0000
O  0.0853  0.2312  0.0000
O  0.2312  0.0853  0.0000
O  0.7688  0.7688  0.8541
O  0.9147  0.9147  0.1459

Computed properties:
* magnetic moment: 0.12 μB per cell
* symmetry: I-42m
* calculated volume: 37.7 Å³/atom

***

ii) The following is a PBE calculation of a relaxed structure of Cs4CO4, from the Alexandria database.

Lattice parameters (Å, degrees): 6.2722 6.2722 6.2722 90.00 90.00 90.00
Fractional positions:
Cs  0.2308  0.2308  0.7692
Cs  0.2308  0.7692  0.2308
Cs  0.7692  0.2308  0.2308
Cs  0.7692  0.7692  0.7692
C  0.5000  0.5000  0.5000
O  0.3672  0.3672  0.3672
O  0.3672  0.6328  0.6328
O  0.6328  0.3672  0.6328
O  0.6328  0.6328  0.3672

Computed properties:
* magnetic moment: 0.10 μB per cell
* symmetry: P-43m
* calculated volume: 27.4 Å³/atom

***

Stability check: which of them is least stable? ii).

***

i) The following is a PBE calculation of a relaxed structure of Cs2CO4, from the Alexandria database.

Lattice parameters (Å, degrees): 6.5645 6.0169 7.2493 90.00 114.39 90.00
Fractional positions:
Cs  0.1917  0.2500  0.1346
Cs  0.1986  0.7500  0.5205
Cs  0.8014  0.2500  0.4795
Cs  0.8083  0.7500  0.8654
C  0.4939  0.2500  0.8055
C  0.5061  0.7500  0.1945
O  0.2934  0.7500  0.1464
O  0.3382  0.2500  0.6185
O  0.4165  0.0370  0.8959
O  0.4165  0.4630  0.8959
O  0.5835  0.5370  0.1041
O  0.5835  0.9630  0.1041
O  0.6618  0.7500  0.3815
O  0.7066  0.2500  0.8536

Computed properties:
* magnetic moment: 0.00 μB per cell
* density of states at the Fermi level: 0.000 states/eV/cell
* symmetry: P2_1/m
* calculated volume: 18.6 Å³/atom

***

ii) The following is a PBE calculation of a relaxed structure of Cs2CO4, from the Alexandria database.

Lattice parameters (Å, degrees): 7.7119 7.7119 6.1636 90.00 90.00 106.30
Fractional positions:
Cs  0.0883  0.3495  0.2500
Cs  0.3495  0.0883  0.7500
Cs  0.6505  0.9117  0.2500
Cs  0.9117  0.6505  0.7500
C  0.1761  0.8240  0.2500
C  0.8240  0.1761  0.7500
O  0.0102  0.2214  0.7500
O  0.2214  0.0102  0.2500
O  0.2480  0.7520  0.0771
O  0.2480  0.7520  0.4229
O  0.7520  0.2480  0.5771
O  0.7520  0.2480  0.9229
O  0.7786  0.9898  0.7500
O  0.9898  0.7786  0.2500

Computed properties:
* magnetic moment: 4.00 μB per cell
* density of states at the Fermi level: 0.042 states/eV/cell
* symmetry: Cmcm
* calculated volume: 25.1 Å³/atom

***

Stability check: which of them is least stable? ii).

***

i) The following is a PBE calculation of a relaxed structure of Cs2Os2C, from the Alexandria database.

Lattice parameters (Å, degrees): 5.8581 5.8581 6.3273 90.00 90.00 90.00
Fractional positions:
Cs  0.1856  0.3144  0.0000
Cs  0.3144  0.8144  0.0000
Cs  0.6856  0.1856  0.0000
Cs  0.8144  0.6856  0.0000
Os  0.1612  0.6612  0.5000
Os  0.3388  0.1612  0.5000
Os  0.6612  0.8388  0.5000
Os  0.8388  0.3388  0.5000
C  0.0000  0.0000  0.5000
C  0.5000  0.5000  0.5000

Computed properties:
* magnetic moment: 0.00 μB per cell
* density of states at the Fermi level: 8.675 states/eV/cell
* symmetry: P4/mbm
* calculated volume: 21.7 Å³/atom

***

ii) The following is a PBE calculation of a relaxed structure of Cs2Os2C, from the Alexandria database.

Lattice parameters (Å, degrees): 5.9489 5.9489 5.9489 106.99 106.99 114.55
Fractional positions:
Cs  0.2500  0.7500  0.5000
Cs  0.7500  0.2500  0.5000
Os  0.2092  0.2092  0.0000
Os  0.7908  0.7908  0.0000
C  0.5000  0.5000  0.0000

Computed properties:
* magnetic moment: 2.38 μB per cell
* density of states at the Fermi level: 4.880 states/eV/cell
* symmetry: I4/mmm
* calculated volume: 32.2 Å³/atom

***

Stability check: which of them is least stable? ii).

***

i) The following is a PBE calculation of a relaxed structure of CsOsC3, from the Alexandria database.

Lattice parameters (Å, degrees): 4.1794 4.1794 4.1794 90.00 90.00 90.00
Fractional positions:
Cs  0.0000  0.0000  0.0000
Os  0.5000  0.5000  0.5000
C  0.0000  0.5000  0.5000
C  0.5000  0.0000  0.5000
C  0.5000  0.5000  0.0000

Computed properties:
* magnetic moment: 2.17 μB per cell
* density of states at the Fermi level: 2.813 states/eV/cell
* symmetry: Pm-3m
* calculated volume: 14.6 Å³/atom

***

ii) The following is a PBE calculation of a relaxed structure of CsOsC3, from the Alexandria database.

Lattice parameters (Å, degrees): 4.2950 4.2950 4.2950 90.00 90.00 90.00
Fractional positions:
Cs  0.0000  0.0000  0.0000
Os  0.5000  0.5000  0.5000
C  0.0000  0.0000  0.5000
C  0.0000  0.5000  0.0000
C  0.5000  0.0000  0.0000

Computed properties:
* magnetic moment: 0.00 μB per cell
* density of states at the Fermi level: 4.727 states/eV/cell
* symmetry: Pm-3m
* calculated volume: 15.8 Å³/atom

***

Stability check: which of them is least stable? ii).

***

i) The following is a PBE calculation of a relaxed structure of Cs2PC, from the Alexandria database.

Lattice parameters (Å, degrees): 6.0199 6.0199 6.0199 60.00 60.00 60.00
Fractional positions:
Cs  0.2500  0.2500  0.2500
Cs  0.7500  0.7500  0.7500
P  0.0000  0.0000  0.0000
C  0.5000  0.5000  0.5000

Computed properties:
* magnetic moment: 4.63 μB per cell
* density of states at the Fermi level: 10.380 states/eV/cell
* symmetry: Fm-3m
* calculated volume: 38.6 Å³/atom

***

ii) The following is a PBE calculation of a relaxed structure of Cs2PC, from the Alexandria database.

Lattice parameters (Å, degrees): 9.5093 9.5093 9.5093 92.14 92.14 157.69
Fractional positions:
Cs  0.3750  0.1088  0.2338
Cs  0.8588  0.6250  0.7338
Cs  0.8750  0.1412  0.7662
Cs  0.8912  0.1250  0.2662
P  0.2500  0.7500  0.5000
P  0.5000  0.5000  0.0000
C  0.0000  0.0000  0.0000
C  0.7500  0.2500  0.5000

Computed properties:
* magnetic moment: 0.25 μB per cell
* density of states at the Fermi level: 6.177 states/eV/cell
* symmetry: I-42d
* calculated volume: 40.0 Å³/atom

***

Stability check: which of them is least stable? i).

***

i) The following is a PBE calculation of a relaxed structure of CsPCS2, from the Alexandria database.

Lattice parameters (Å, degrees): 5.0347 5.0347 4.0166 90.00 90.00 90.00
Fractional positions:
Cs  0.0000  0.0000  0.0000
P  0.5000  0.5000  0.0000
C  0.5000  0.5000  0.5000
S  0.0000  0.5000  0.5000
S  0.5000  0.0000  0.5000

Computed properties:
* magnetic moment: 0.00 μB per cell
* density of states at the Fermi level: 5.014 states/eV/cell
* symmetry: P4/mmm
* calculated volume: 20.4 Å³/atom

***

ii) The following is a PBE calculation of a relaxed structure of CsPCS2, from the Alexandria database.

Lattice parameters (Å, degrees): 5.6979 5.6979 7.6245 90.00 90.00 90.00
Fractional positions:
Cs  0.0000  0.0000  0.0000
P  0.0000  0.0000  0.5000
C  0.5000  0.5000  0.5000
S  0.0000  0.5000  0.0000
S  0.5000  0.0000  0.0000

Computed properties:
* magnetic moment: 5.87 μB per cell
* density of states at the Fermi level: 7.027 states/eV/cell
* symmetry: P4/mmm
* calculated volume: 49.5 Å³/atom

***

Stability check: which of them is least stable? ii).

***

i) The following is a PBE calculation of a relaxed structure of CsTePC, from the Alexandria database.

Lattice parameters (Å, degrees): 7.1786 7.1786 5.1342 91.08 91.08 41.47
Fractional positions:
Cs  0.0000  0.0000  0.0000
Te  0.6330  0.6330  0.5059
P  0.3644  0.3644  0.4932
C  0.4835  0.4835  0.4992

Computed properties:
* magnetic moment: 0.00 μB per cell
* symmetry: Cm
* calculated volume: 43.8 Å³/atom

***

ii) The following is a PBE calculation of a relaxed structure of CsTePC, from the Alexandria database.

Lattice parameters (Å, degrees): 4.9619 5.2560 5.9949 94.32 90.89 108.84
Fractional positions:
Cs  0.0000  0.0000  0.0000
Te  0.4328  0.7815  0.5014
P  0.6324  0.3521  0.4568
C  0.5542  0.1947  0.6920

Computed properties:
* magnetic moment: 0.00 μB per cell
* symmetry: P1
* calculated volume: 36.9 Å³/atom

***

Stability check: which of them is least stable? ii).

***

i) The following is a PBE calculation of a relaxed structure of CsTePC, from the Alexandria database.

Lattice parameters (Å, degrees): 6.4226 6.4226 7.1718 115.14 115.14 28.25
Fractional positions:
Cs  0.0000  0.0000  0.0000
Te  0.5331  0.5331  0.5363
P  0.3223  0.3223  0.2333
C  0.7555  0.7555  0.1661

Computed properties:
* magnetic moment: 0.00 μB per cell
* density of states at the Fermi level: 0.470 states/eV/cell
* symmetry: Cm
* calculated volume: 31.5 Å³/atom

***

ii) The following is a PBE calculation of a relaxed structure of CsTePC, from the Alexandria database.

Lattice parameters (Å, degrees): 5.1218 5.1235 6.9358 111.11 111.55 90.00
Fractional positions:
Cs  0.0000  0.0000  0.0000
Te  0.3600  0.3637  0.7182
P  0.6615  0.6591  0.3237
C  0.5281  0.5280  0.0558

Computed properties:
* magnetic moment: 0.00 μB per cell
* density of states at the Fermi level: 0.000 states/eV/cell
* symmetry: P1
* calculated volume: 39.0 Å³/atom

***

Stability check: which of them is least stable? i).